1.
DFT (PBE) results for Rb3Y3InTe8 after structural relaxation.

Lattice parameters (Å, degrees): 8.805 8.823 10.218 115.66 90.00 119.93
Fractional coordinates of all 15 atoms:
Te1 0.232 0.965 0.697
Te2 0.266 0.533 0.299
Te3 0.734 0.965 0.697
Te4 0.734 0.467 0.701
Te5 0.769 0.537 0.303
Te6 0.231 0.463 0.697
Te7 0.266 0.035 0.303
Te8 0.768 0.035 0.303
Rb1 0.500 0.500 0.000
Rb2 0.000 0.500 0.000
Rb3 0.000 0.000 0.000
Y1 0.500 0.000 0.500
Y2 0.000 0.500 0.500
Y3 0.500 0.500 0.500
In1 0.000 0.000 0.500

* E_tot: -4.452 eV per atom

2.
DFT (PBE) results for BeGeW2 after structural relaxation.

Lattice parameters (Å, degrees): 3.721 3.721 9.486 78.69 78.69 90.00
Fractional coordinates of all 8 atoms:
W1 0.611 0.125 0.250
W2 0.875 0.861 0.750
W3 0.375 0.389 0.750
W4 0.139 0.625 0.250
Ge1 0.000 0.000 0.000
Ge2 0.750 0.250 0.500
Be1 0.500 0.500 0.000
Be2 0.250 0.750 0.500

* polymorph energy (0 for the lowest one): 0.219 eV per atom
* E_tot: -7.895 eV per atom
* E_form: 0.667 eV per atom

3.
DFT (PBE) results for Ag2PdF5 after structural relaxation.

Lattice parameters (Å, degrees): 6.850 6.303 4.182 110.69 124.92 99.36
Fractional coordinates of all 8 atoms:
F1 0.859 0.249 0.927
F2 0.085 0.695 0.836
F3 0.582 0.695 0.373
F4 0.972 0.972 0.382
F5 0.362 0.249 0.390
Ag1 0.324 0.675 0.585
Ag2 0.621 0.270 0.180
Pd1 0.972 0.972 0.882

* polymorph energy (0 for the lowest one): 0.012 eV per atom
* E_tot: -3.703 eV per atom

4.
DFT (PBE) results for CdSiBr2 after structural relaxation.

Lattice parameters (Å, degrees): 6.898 6.898 5.420 67.90 67.90 34.29
Fractional coordinates of all 4 atoms:
Si1 0.842 0.842 0.861
Br1 0.240 0.240 0.205
Br2 0.001 0.001 0.966
Cd1 0.416 0.416 0.468

* polymorph energy (0 for the lowest one): 0.007 eV per atom
* E_tot: -2.580 eV per atom

5.
DFT (PBE) results for AcSF after structural relaxation.

Lattice parameters (Å, degrees): 4.121 4.121 5.060 114.03 114.03 90.00
Fractional coordinates of all 3 atoms:
F1 0.352 0.352 0.705
S1 0.015 0.015 0.029
Ac1 0.633 0.633 0.266

* polymorph energy (0 for the lowest one): 0.432 eV per atom
* E_tot: -6.065 eV per atom

6.
DFT (PBE) results for AgAuS2 after structural relaxation.

Lattice parameters (Å, degrees): 5.671 5.671 6.999 66.10 66.10 90.00
Fractional coordinates of all 8 atoms:
Au1 0.000 0.000 0.000
Au2 0.750 0.250 0.500
S1 0.875 0.887 0.750
S2 0.375 0.363 0.750
S3 0.113 0.625 0.250
S4 0.637 0.125 0.250
Ag1 0.500 0.500 0.000
Ag2 0.250 0.750 0.500

* E_tot: -3.422 eV per atom

7.
DFT (PBE) results for Sc2PBr2 after structural relaxation.

Lattice parameters (Å, degrees): 3.779 3.779 10.380 79.51 79.51 60.00
Fractional coordinates of all 5 atoms:
Br1 0.230 0.230 0.311
Br2 0.770 0.770 0.689
P1 0.000 0.000 0.000
Sc1 0.380 0.380 0.860
Sc2 0.620 0.620 0.140

* E_tot: -5.936 eV per atom

8.
DFT (PBE) results for NbNiGe2Sb after structural relaxation.

Lattice parameters (Å, degrees): 4.996 4.707 4.996 90.00 90.00 90.00
Fractional coordinates of all 5 atoms:
Ni1 0.000 0.500 0.000
Sb1 0.500 0.500 0.500
Nb1 0.000 0.000 0.000
Ge1 0.000 0.000 0.500
Ge2 0.500 0.000 0.000

* E_tot: -5.043 eV per atom

9.
DFT (PBE) results for KMnRh2 after structural relaxation.

Lattice parameters (Å, degrees): 5.202 5.202 2.760 90.00 90.00 110.90
Fractional coordinates of all 4 atoms:
Mn1 0.000 0.500 0.500
Rh1 0.000 0.000 0.000
Rh2 0.500 0.500 0.000
K1 0.500 0.000 0.500

* polymorph energy (0 for the lowest one): 0.488 eV per atom
* E_tot: -5.486 eV per atom
* E_form: 0.756 eV per atom

10.
DFT (PBE) results for Pm3Nd2YBi6 after structural relaxation.

Lattice parameters (Å, degrees): 4.576 9.147 10.226 102.90 102.93 90.00
Fractional coordinates of all 12 atoms:
Bi1 0.665 0.081 0.330
Bi2 0.334 0.416 0.667
Bi3 0.666 0.584 0.333
Bi4 0.001 0.755 0.002
Bi5 0.335 0.919 0.670
Bi6 0.999 0.245 0.998
Nd1 0.166 0.333 0.332
Nd2 0.834 0.667 0.668
Pm1 0.168 0.834 0.335
Pm2 0.832 0.166 0.665
Pm3 0.500 0.500 0.000
Y1 0.500 0.000 0.000

* E_tot: -5.396 eV per atom
* E_form: -0.935 eV per atom

11.
DFT (PBE) results for Ba2LiSi2 after structural relaxation.

Lattice parameters (Å, degrees): 6.481 6.562 8.648 103.99 90.00 119.59
Fractional coordinates of all 10 atoms:
Ba1 0.812 0.284 0.623
Ba2 0.472 0.284 0.123
Ba3 0.528 0.716 0.877
Ba4 0.188 0.716 0.377
Li1 0.935 0.000 0.250
Li2 0.065 0.000 0.750
Si1 0.017 0.689 0.003
Si2 0.983 0.311 0.997
Si3 0.672 0.689 0.503
Si4 0.328 0.311 0.497

* E_tot: -3.589 eV per atom

12.
DFT (PBE) results for FeTc2Os after structural relaxation.

Lattice parameters (Å, degrees): 4.683 4.683 4.627 80.65 80.65 33.64
Fractional coordinates of all 4 atoms:
Tc1 0.498 0.498 0.500
Tc2 0.002 0.002 0.000
Os1 0.750 0.750 0.750
Fe1 0.250 0.250 0.250

* polymorph energy (0 for the lowest one): 0.041 eV per atom
* E_tot: -9.987 eV per atom
* E_form: 0.119 eV per atom

13.
DFT (PBE) results for BeNbAg after structural relaxation.

Lattice parameters (Å, degrees): 6.967 2.769 4.728 90.00 90.00 80.44
Fractional coordinates of all 6 atoms:
Ag1 0.505 0.074 0.552
Ag2 0.504 0.606 0.052
Be1 0.797 0.421 0.387
Be2 0.211 0.260 0.887
Nb1 0.888 0.992 0.890
Nb2 0.121 0.688 0.390

* polymorph energy (0 for the lowest one): 0.160 eV per atom
* E_tot: -5.405 eV per atom
* E_form: 0.144 eV per atom

14.
DFT (PBE) results for BaTi2Ag2 after structural relaxation.

Lattice parameters (Å, degrees): 8.476 8.476 3.135 90.00 90.00 90.00
Fractional coordinates of all 10 atoms:
Ag1 0.679 0.821 0.500
Ag2 0.179 0.679 0.500
Ag3 0.321 0.179 0.500
Ag4 0.821 0.321 0.500
Ti1 0.608 0.108 0.000
Ti2 0.108 0.392 0.000
Ti3 0.392 0.892 0.000
Ti4 0.892 0.608 0.000
Ba1 0.500 0.500 0.000
Ba2 0.000 0.000 0.000

* E_tot: -4.405 eV per atom
* E_form: 0.278 eV per atom

15.
DFT (PBE) results for RbTaAu3 after structural relaxation.

Lattice parameters (Å, degrees): 5.280 5.280 5.280 90.00 90.00 90.00
Fractional coordinates of all 5 atoms:
Au1 0.500 0.000 0.000
Au2 0.000 0.500 0.000
Au3 0.000 0.000 0.500
Rb1 0.500 0.500 0.500
Ta1 0.000 0.000 0.000

* polymorph energy (0 for the lowest one): 0.000 eV per atom
* E_tot: -4.196 eV per atom
* E_form: 0.335 eV per atom

16.
DFT (PBE) results for Y3Se after structural relaxation.

Lattice parameters (Å, degrees): 4.719 4.719 4.719 90.00 90.00 90.00
Fractional coordinates of all 4 atoms:
Se1 0.000 0.000 0.000
Y1 0.500 0.000 0.500
Y2 0.500 0.500 0.000
Y3 0.000 0.500 0.500

* polymorph energy (0 for the lowest one): 0.493 eV per atom
* E_tot: -6.049 eV per atom

17.
DFT (PBE) results for La3YTm2As6 after structural relaxation.

Lattice parameters (Å, degrees): 7.334 7.334 7.317 99.61 99.61 119.99
Fractional coordinates of all 12 atoms:
La1 0.500 0.500 0.500
La2 0.166 0.834 0.500
La3 0.834 0.166 0.500
As1 0.414 0.078 0.235
As2 0.078 0.414 0.235
As3 0.742 0.742 0.234
As4 0.258 0.258 0.766
As5 0.586 0.922 0.765
As6 0.922 0.586 0.765
Tm1 0.667 0.333 0.000
Tm2 0.333 0.667 0.000
Y1 0.000 0.000 0.000

* E_tot: -6.375 eV per atom
* E_form: -1.535 eV per atom

18.
DFT (PBE) results for NiPtI after structural relaxation.

Lattice parameters (Å, degrees): 3.832 3.855 9.423 90.00 90.00 119.80
Fractional coordinates of all 6 atoms:
I1 0.818 0.636 0.204
I2 0.818 0.636 0.796
Pt1 0.329 0.658 0.000
Pt2 0.455 0.911 0.500
Ni1 0.123 0.246 0.633
Ni2 0.123 0.246 0.367

* E_tot: -4.072 eV per atom

19.
DFT (PBE) results for ScTiTlCd2 after structural relaxation.

Lattice parameters (Å, degrees): 5.196 5.234 5.196 90.00 90.00 90.00
Fractional coordinates of all 5 atoms:
Tl1 0.000 0.500 0.000
Ti1 0.000 0.000 0.000
Sc1 0.500 0.500 0.500
Cd1 0.500 0.000 0.000
Cd2 0.000 0.000 0.500

* E_tot: -3.068 eV per atom
* E_form: 0.617 eV per atom

20.
DFT (PBE) results for Tb5Sm3Dy after structural relaxation.

Lattice parameters (Å, degrees): 6.168 10.974 11.650 125.09 90.00 106.32
Fractional coordinates of all 18 atoms:
Dy1 0.092 0.000 0.250
Dy2 0.908 0.000 0.750
Tb1 0.631 0.641 0.976
Tb2 0.990 0.359 0.524
Tb3 0.534 0.728 0.372
Tb4 0.466 0.272 0.628
Tb5 0.369 0.359 0.024
Tb6 0.806 0.272 0.128
Tb7 0.010 0.641 0.476
Tb8 0.420 0.000 0.750
Tb9 0.194 0.728 0.872
Tb10 0.580 0.000 0.250
Sm1 0.394 0.362 0.326
Sm2 0.968 0.362 0.826
Sm3 0.000 0.000 0.500
Sm4 0.606 0.638 0.674
Sm5 0.000 0.000 0.000
Sm6 0.032 0.638 0.174

* polymorph energy (0 for the lowest one): 0.000 eV per atom
* E_tot: -4.360 eV per atom
* E_form: 0.297 eV per atom

21.
DFT (PBE) results for RbInSi2Te8 after structural relaxation.

Lattice parameters (Å, degrees): 6.328 6.328 14.298 77.22 77.22 60.00
Fractional coordinates of all 12 atoms:
Te1 0.709 0.109 0.838
Te2 0.291 0.891 0.162
Te3 0.109 0.345 0.838
Te4 0.345 0.709 0.838
Te5 0.891 0.655 0.162
Te6 0.655 0.291 0.162
Te7 0.803 0.803 0.591
Te8 0.197 0.197 0.409
Si1 0.745 0.745 0.766
Si2 0.255 0.255 0.234
Rb1 0.500 0.500 0.500
In1 0.000 0.000 0.000

* E_tot: -3.384 eV per atom

22.
DFT (PBE) results for CePmTcAg after structural relaxation.

Lattice parameters (Å, degrees): 5.072 5.072 5.072 60.00 60.00 60.00
Fractional coordinates of all 4 atoms:
Ag1 0.250 0.250 0.250
Pm1 0.500 0.500 0.500
Ce1 0.000 0.000 0.000
Tc1 0.750 0.750 0.750

* E_tot: -5.979 eV per atom
* E_form: -0.004 eV per atom